Hg3Pd12Pb (PBE, optimized geometry); energy = -69.2 eV for the cell shown; E_form = -142 meV per atom; space group = P4/mmm
1.0
4.0772 0.0000 0.0000
0.0000 4.0772 0.0000
0.0000 0.0000 16.1793
Hg Pd Pb
3 12 1
Direct
0.0000 0.0000 0.0000
0.0000 0.0000 0.2481
0.0000 0.0000 0.7519
0.0000 0.5000 0.1238
0.0000 0.5000 0.3732
0.0000 0.5000 0.6268
0.0000 0.5000 0.8762
0.5000 0.0000 0.1238
0.5000 0.0000 0.3732
0.5000 0.0000 0.6268
0.5000 0.0000 0.8762
0.5000 0.5000 0.0000
0.5000 0.5000 0.2483
0.5000 0.5000 0.5000
0.5000 0.5000 0.7517
0.0000 0.0000 0.5000